1.
## Dy8MgNi2 (PBE-GGA)

Data for Dy8MgNi2 after structural relaxation.

Properties
**DFT formation energy**: -0.078 eV/atom
**Magnetization**: 0.00 μB per formula unit

Cell lengths 8.531, 13.389, 5.396 Å; angles 90.00, 103.07, 90.00 degrees
Space group C2/m (No. 12)
Unique sites:
Dy 0.000 0.247 0.000 [4 per cell]
Dy 0.106 0.000 0.800 [4 per cell]
Dy 0.203 0.371 0.574 [8 per cell]
Mg 0.000 0.500 0.000 [2 per cell]
Ni 0.000 0.194 0.500 [4 per cell]

***

2.
## LiTbI4 (PBE-GGA)

Data for LiTbI4 after structural relaxation.

Properties
**Offset from the most stable computed form**: 0.00 eV/f.u.
**Formation energy (no corrections)**: -1324 meV per atom
**Magnetization**: 0.00 μB per formula unit

Cell lengths 17.343, 4.357, 7.560 Å; angles 90.00, 115.50, 90.00 degrees
Space group C2/m (No. 12)
Unique sites:
Li 0.000 0.000 0.000 [2 per cell]
Tb 0.000 0.500 0.500 [2 per cell]
I 0.105 0.500 0.937 [4 per cell]
I 0.116 0.000 0.454 [4 per cell]

***

3.
## TlGaAgPt (PBE-GGA)

Data for TlGaAgPt after structural relaxation.

Properties
**Offset from the most stable computed form**: 0.21 eV/f.u.
**DFT formation energy**: -0.112 eV/atom
**Magnetization**: 0.00 μB per formula unit

Cell lengths 3.826, 4.673, 5.420 Å; angles 75.09, 69.38, 66.11 degrees
Space group P1 (No. 1)
Unique sites:
Tl 0.000 0.000 0.000 [1 per cell]
Ga 0.428 0.517 0.626 [1 per cell]
Ag 0.183 0.349 0.288 [1 per cell]
Pt 0.755 0.914 0.579 [1 per cell]

***

4.
## Cr2AgCl2 (PBE-GGA)

Data for Cr2AgCl2 after structural relaxation.

Properties
**Offset from the most stable computed form**: 0.04 eV/f.u.
**Formation energy (no corrections)**: 239 meV per atom
**Magnetization**: 9.00 μB per formula unit

Cell lengths 7.762, 7.762, 3.204 Å; angles 90.00, 90.00, 90.00 degrees
Space group P4/mbm (No. 127)
Unique sites:
Cr 0.179 0.321 0.000 [4 per cell]
Ag 0.000 0.000 0.500 [2 per cell]
Cl 0.138 0.638 0.500 [4 per cell]